Entry 1:
# TlRuO2, relaxed, DFT PBE-GGA
# polymorph energy (0 for the lowest one): 0.0 meV/atom
# ρ: 7.689 g/cm3
# DFT total energy: -93.4 eV for the cell shown
# formation energy (no corrections): -0.447 eV/atom
data_TlRuO2
_cell_length_a 5.3285
_cell_length_b 5.3285
_cell_length_c 10.2669
_cell_angle_alpha 90.00
_cell_angle_beta 90.00
_cell_angle_gamma 90.00
_space_group_name_H-M_alt 'P 1'
_space_group_IT_number 1
_space_group_name_Hall 'P 1'
loop_
_atom_site_label
_atom_site_fract_x
_atom_site_fract_y
_atom_site_fract_z
_atom_site_occupancy
Tl1 0.0000 0.0000 0.0000 1
Tl2 0.0000 0.5000 0.2500 1
Tl3 0.5000 0.0000 0.7500 1
Tl4 0.5000 0.5000 0.5000 1
Ru1 0.0000 0.0000 0.5000 1
Ru2 0.0000 0.5000 0.7500 1
Ru3 0.5000 0.0000 0.2500 1
Ru4 0.5000 0.5000 0.0000 1
O1 0.1129 0.2500 0.6250 1
O2 0.2500 0.6129 0.8750 1
O3 0.2500 0.8871 0.3750 1
O4 0.3871 0.2500 0.1250 1
O5 0.6129 0.7500 0.1250 1
O6 0.7500 0.1129 0.3750 1
O7 0.7500 0.3871 0.8750 1
O8 0.8871 0.7500 0.6250 1

Entry 2:
# TlRu3O, relaxed, DFT PBE-GGA
# polymorph energy (0 for the lowest one): 0.0 meV/atom
# ρ: 12.052 g/cm3
# DFT total energy: -33.2 eV for the cell shown
# formation energy (no corrections): 0.394 eV/atom
data_TlRu3O
_cell_length_a 4.1628
_cell_length_b 4.1628
_cell_length_c 4.1628
_cell_angle_alpha 90.00
_cell_angle_beta 90.00
_cell_angle_gamma 90.00
_space_group_name_H-M_alt 'P 1'
_space_group_IT_number 1
_space_group_name_Hall 'P 1'
loop_
_atom_site_label
_atom_site_fract_x
_atom_site_fract_y
_atom_site_fract_z
_atom_site_occupancy
Tl1 0.0000 0.0000 0.0000 1
Ru1 0.0000 0.5000 0.5000 1
Ru2 0.5000 0.0000 0.5000 1
Ru3 0.5000 0.5000 0.0000 1
O1 0.5000 0.5000 0.5000 1

Entry 3:
# Tl4Ru6O19, relaxed, DFT PBE-GGA
# ρ: 6.937 g/cm3
# DFT total energy: -182.5 eV for the cell shown
# formation energy (no corrections): -0.801 eV/atom
data_Tl4Ru6O19
_cell_length_a 8.1298
_cell_length_b 8.1298
_cell_length_c 8.1298
_cell_angle_alpha 109.47
_cell_angle_beta 109.47
_cell_angle_gamma 109.47
_space_group_name_H-M_alt 'P 1'
_space_group_IT_number 1
_space_group_name_Hall 'P 1'
loop_
_atom_site_label
_atom_site_fract_x
_atom_site_fract_y
_atom_site_fract_z
_atom_site_occupancy
Tl1 0.0000 0.0000 0.2941 1
Tl2 0.0000 0.2941 0.0000 1
Tl3 0.2941 0.0000 0.0000 1
Tl4 0.7059 0.7059 0.7059 1
Ru1 0.1634 0.5000 0.6634 1
Ru2 0.3366 0.8366 0.5000 1
Ru3 0.5000 0.3366 0.8366 1
Ru4 0.5000 0.6634 0.1634 1
Ru5 0.6634 0.1634 0.5000 1
Ru6 0.8366 0.5000 0.3366 1
O1 0.0000 0.0000 0.0000 1
O2 0.0000 0.3704 0.3704 1
O3 0.0000 0.6296 0.6296 1
O4 0.0509 0.7083 0.3404 1
O5 0.2895 0.6574 0.9491 1
O6 0.2917 0.3426 0.6321 1
O7 0.3404 0.0509 0.7083 1
O8 0.3426 0.6321 0.2917 1
O9 0.3679 0.7105 0.6596 1
O10 0.3704 0.0000 0.3704 1
O11 0.3704 0.3704 0.0000 1
O12 0.6296 0.0000 0.6296 1
O13 0.6296 0.6296 0.0000 1
O14 0.6321 0.2917 0.3426 1
O15 0.6574 0.9491 0.2895 1
O16 0.6596 0.3679 0.7105 1
O17 0.7083 0.3404 0.0509 1
O18 0.7105 0.6596 0.3679 1
O19 0.9491 0.2895 0.6574 1

Entry 4:
# TlRu2O, relaxed, DFT PBE-GGA
# polymorph energy (0 for the lowest one): 0.0 meV/atom
# ρ: 9.698 g/cm3
# DFT total energy: -98.3 eV for the cell shown
# formation energy (no corrections): 0.328 eV/atom
data_TlRu2O
_cell_length_a 4.6664
_cell_length_b 4.6664
_cell_length_c 13.2898
_cell_angle_alpha 90.00
_cell_angle_beta 90.00
_cell_angle_gamma 90.00
_space_group_name_H-M_alt 'P 1'
_space_group_IT_number 1
_space_group_name_Hall 'P 1'
loop_
_atom_site_label
_atom_site_fract_x
_atom_site_fract_y
_atom_site_fract_z
_atom_site_occupancy
Tl1 0.0000 0.0000 0.0000 1
Tl2 0.0000 0.5000 0.2500 1
Tl3 0.5000 0.0000 0.7500 1
Tl4 0.5000 0.5000 0.5000 1
Ru1 0.0761 0.2500 0.6250 1
Ru2 0.2500 0.5761 0.8750 1
Ru3 0.2500 0.9239 0.3750 1
Ru4 0.4239 0.2500 0.1250 1
Ru5 0.5761 0.7500 0.1250 1
Ru6 0.7500 0.0761 0.3750 1
Ru7 0.7500 0.4239 0.8750 1
Ru8 0.9239 0.7500 0.6250 1
O1 0.0000 0.0000 0.5000 1
O2 0.0000 0.5000 0.7500 1
O3 0.5000 0.0000 0.2500 1
O4 0.5000 0.5000 0.0000 1

Entry 5:
# TlRuO3, relaxed, DFT PBE-GGA
# ρ: 9.574 g/cm3
# DFT total energy: -29.9 eV for the cell shown
# formation energy (no corrections): -0.686 eV/atom
data_TlRuO3
_cell_length_a 3.9430
_cell_length_b 3.9430
_cell_length_c 3.9430
_cell_angle_alpha 90.00
_cell_angle_beta 90.00
_cell_angle_gamma 90.00
_space_group_name_H-M_alt 'P 1'
_space_group_IT_number 1
_space_group_name_Hall 'P 1'
loop_
_atom_site_label
_atom_site_fract_x
_atom_site_fract_y
_atom_site_fract_z
_atom_site_occupancy
Tl1 0.0000 0.0000 0.0000 1
Ru1 0.5000 0.5000 0.5000 1
O1 0.0000 0.5000 0.5000 1
O2 0.5000 0.0000 0.5000 1
O3 0.5000 0.5000 0.0000 1

Entry 6:
# TlRuO4, relaxed, DFT PBE-GGA
# polymorph energy (0 for the lowest one): 0.0 meV/atom
# ρ: 5.344 g/cm3
# DFT total energy: -144.6 eV for the cell shown
# formation energy (no corrections): -0.778 eV/atom
data_TlRuO4
_cell_length_a 9.2206
_cell_length_b 6.2521
_cell_length_c 7.9651
_cell_angle_alpha 90.00
_cell_angle_beta 90.00
_cell_angle_gamma 90.00
_space_group_name_H-M_alt 'P 1'
_space_group_IT_number 1
_space_group_name_Hall 'P 1'
loop_
_atom_site_label
_atom_site_fract_x
_atom_site_fract_y
_atom_site_fract_z
_atom_site_occupancy
Tl1 0.1873 0.2500 0.1773 1
Tl2 0.3127 0.7500 0.6773 1
Tl3 0.6873 0.2500 0.3227 1
Tl4 0.8127 0.7500 0.8227 1
Ru1 0.0528 0.2500 0.6855 1
Ru2 0.4472 0.7500 0.1855 1
Ru3 0.5528 0.2500 0.8145 1
Ru4 0.9472 0.7500 0.3145 1
O1 0.0719 0.0166 0.8068 1
O2 0.0719 0.4834 0.8068 1
O3 0.1213 0.7500 0.4031 1
O4 0.1860 0.2500 0.5285 1
O5 0.3140 0.7500 0.0285 1
O6 0.3787 0.2500 0.9031 1
O7 0.4281 0.5166 0.3068 1
O8 0.4281 0.9834 0.3068 1
O9 0.5719 0.0166 0.6932 1
O10 0.5719 0.4834 0.6932 1
O11 0.6213 0.7500 0.0969 1
O12 0.6860 0.2500 0.9715 1
O13 0.8140 0.7500 0.4715 1
O14 0.8787 0.2500 0.5969 1
O15 0.9281 0.5166 0.1932 1
O16 0.9281 0.9834 0.1932 1

Entry 7:
# Tl2RuO4, relaxed, DFT PBE-GGA
# polymorph energy (0 for the lowest one): 5.9 meV/atom
# ρ: 5.066 g/cm3
# DFT total energy: -78.4 eV for the cell shown
# formation energy (no corrections): -0.767 eV/atom
data_Tl2RuO4
_cell_length_a 8.7711
_cell_length_b 9.2617
_cell_length_c 6.3732
_cell_angle_alpha 90.00
_cell_angle_beta 133.39
_cell_angle_gamma 90.00
_space_group_name_H-M_alt 'P 1'
_space_group_IT_number 1
_space_group_name_Hall 'P 1'
loop_
_atom_site_label
_atom_site_fract_x
_atom_site_fract_y
_atom_site_fract_z
_atom_site_occupancy
Tl1 0.0000 0.2498 0.0000 1
Tl2 0.0000 0.7502 0.0000 1
Tl3 0.5000 0.2502 0.0000 1
Tl4 0.5000 0.7498 0.0000 1
Ru1 0.9998 0.0000 0.4997 1
Ru2 0.4998 0.5000 0.4997 1
O1 0.2756 0.0000 0.8217 1
O2 0.3841 0.3392 0.4991 1
O3 0.3841 0.6608 0.4991 1
O4 0.4552 0.5000 0.1784 1
O5 0.7756 0.5000 0.8217 1
O6 0.8841 0.1608 0.4991 1
O7 0.8841 0.8392 0.4991 1
O8 0.9552 0.0000 0.1784 1

Entry 8:
# TlRuO2, relaxed, DFT PBE-GGA
# polymorph energy (0 for the lowest one): 156.3 meV/atom
# ρ: 8.685 g/cm3
# DFT total energy: -68.2 eV for the cell shown
# formation energy (no corrections): -0.291 eV/atom
data_TlRuO2
_cell_length_a 3.1350
_cell_length_b 3.1350
_cell_length_c 22.7408
_cell_angle_alpha 90.00
_cell_angle_beta 90.00
_cell_angle_gamma 120.00
_space_group_name_H-M_alt 'P 1'
_space_group_IT_number 1
_space_group_name_Hall 'P 1'
loop_
_atom_site_label
_atom_site_fract_x
_atom_site_fract_y
_atom_site_fract_z
_atom_site_occupancy
Tl1 0.0000 0.0000 0.0000 1
Tl2 0.3333 0.6667 0.6667 1
Tl3 0.6667 0.3333 0.3333 1
Ru1 0.0000 0.0000 0.5000 1
Ru2 0.3333 0.6667 0.1667 1
Ru3 0.6667 0.3333 0.8333 1
O1 0.0000 0.0000 0.4226 1
O2 0.0000 0.0000 0.5774 1
O3 0.3333 0.6667 0.0893 1
O4 0.3333 0.6667 0.2441 1
O5 0.6667 0.3333 0.7559 1
O6 0.6667 0.3333 0.9107 1